Compound: Tl2ReI
Source: the Alexandria database
Functional: PBE
Structure: relaxed

Cell and atoms, written as CIF:
```
data_Tl2ReI
_chemical_formula_sum 'Tl8 Re4 I4'
_cell_length_a 5.992
_cell_length_b 5.992
_cell_length_c 17.243
_cell_angle_alpha 90.00
_cell_angle_beta 90.00
_cell_angle_gamma 90.00
_space_group_name_H-M_alt 'I -4 2 d'
_space_group_IT_number 122
_space_group_name_Hall 'I -4 2bw'
loop_
_atom_site_label
_atom_site_type_symbol
_atom_site_fract_x
_atom_site_fract_y
_atom_site_fract_z
Tl1 Tl 0.121 0.250 0.125
Re1 Re 0.000 0.000 0.000
I1 I 0.000 0.000 0.500
```

Summary:
- Spin magnetization: 2.262 μB per formula unit
- ρ: 7.74 g/cm3
- Volume: 154.8 Å³/f.u.
- ΔE to the lowest computed polymorph: 0 meV/atom
- E_form (uncorrected): 110 kJ/mol of atoms